A plane-wave DFT calculation with PBE was carried out for crystalline Th4TcHgSe2 at its relaxed geometry.

```
Th4TcHgSe2
1.0
7.420 0.000 0.000
0.000 4.196 0.000
-2.371 0.000 7.288
Th Tc Hg Se
4 1 1 2
direct
0.221 0.000 0.261
0.224 0.500 0.725
0.776 0.500 0.275
0.779 0.000 0.739
0.000 0.000 0.500
0.500 0.500 0.500
0.000 0.500 0.000
0.500 0.000 0.000
```

Values from the calculation:
* crystal system: monoclinic
* formation energy without anion corrections: -0.785 eV/atom
* size of the total moment: 0.0 μB/f.u.